Record 1
Entry from Alexandria via LeMat-Bulk: a relaxed LiAs2Ir crystal (PBE).

Summary:
Density, g/cm³: 9.436
Space group: I-4m2 (119)
Volume, A^3/atom: 15.35
ΔH_f (0 K), eV/atom: -0.062

a = 5.031 Å, b = 5.031 Å, c = 5.031 Å
α = 135.62°, β = 135.62°, γ = 64.56°
Sites, in units of the cell vectors:
As: 0.000 0.000 0.000
As: 0.250 0.750 0.500
Ir: 0.500 0.500 0.000
Li: 0.750 0.250 0.500

Record 2
Entry from Alexandria via LeMat-Bulk: a relaxed LiAs2Ir crystal (PBE).

Summary:
Density, g/cm³: 8.298
Space group: Imm2 (44)
Volume, A^3/atom: 17.46
ΔH_f (0 K), eV/atom: -0.258

a = 7.300 Å, b = 7.300 Å, c = 7.300 Å
α = 152.64°, β = 156.97°, γ = 36.05°
Sites, in units of the cell vectors:
As: 0.962 0.962 0.000
As: 0.685 0.185 0.500
Ir: 0.555 0.555 0.000
Li: 0.297 0.797 0.500

- Among the records above, which one has the lowest ΔH_f (0 K)?
  number 2